# NdPbO2

Crystalline NdPbO2 at its relaxed geometry (PBE-GGA, Alexandria via LeMat-Bulk).

Properties
- E_tot: -0.492 Ry per atom
- Volume: 236.2 Å³/cell
- Excess energy over the best structure of this formula in the dataset: 0.0 kJ/mol of atoms
- Total magnetic moment: 0.0 μB/f.u.
- E_form (uncorrected): -2090 meV/atom

Cell lengths 3.5901, 3.5901, 21.1636 Å; angles 90.00, 90.00, 120.00 degrees
Space group R3m (No. 160, hexagonal axes)
Symmetry-distinct sites (fractional):
Nd1 0.0000 0.0000 0.0000 [3 per cell]
Pb1 0.0000 0.0000 0.8218 [3 per cell]
O1 0.0000 0.0000 0.3969 [3 per cell]
O2 0.0000 0.0000 0.6172 [3 per cell]

=====

# Nd3Pb5O12

Crystalline Nd3Pb5O12 at its relaxed geometry (PBE-GGA, Alexandria via LeMat-Bulk).

Properties
- E_tot: -0.466 Ry per atom
- Volume: 2692.2 Å³/cell
- Total magnetic moment: 0.0 μB/f.u.
- E_form (uncorrected): -1724 meV/atom

Cell lengths 13.9114, 13.9114, 13.9114 Å; angles 90.00, 90.00, 90.00 degrees
Space group Ia-3d (No. 230)
Symmetry-distinct sites (fractional):
Nd1 0.0000 0.2500 0.1250 [24 per cell]
Pb1 0.0000 0.0000 0.0000 [16 per cell]
Pb2 0.0000 0.2500 0.3750 [24 per cell]
O1 0.0166 0.0667 0.6510 [96 per cell]

=====

# Nd2PbO

Crystalline Nd2PbO at its relaxed geometry (PBE-GGA, Alexandria via LeMat-Bulk).

Properties
- E_tot: -0.462 Ry per atom
- Volume: 204.1 Å³/cell
- Excess energy over the best structure of this formula in the dataset: 0.0 kJ/mol of atoms
- Total magnetic moment: 0.0 μB/f.u.
- E_form (uncorrected): -1739 meV/atom

Cell lengths 4.6982, 4.6982, 9.2487 Å; angles 90.00, 90.00, 90.00 degrees
Space group P4/nmm (No. 129, origin choice 2)
Symmetry-distinct sites (fractional):
Nd1 0.2500 0.2500 0.1669 [2 per cell]
Nd2 0.2500 0.7500 0.5000 [2 per cell]
Pb1 0.2500 0.2500 0.8004 [2 per cell]
O1 0.2500 0.2500 0.4234 [2 per cell]

=====

# Nd2PbO2

Crystalline Nd2PbO2 at its relaxed geometry (PBE-GGA, Alexandria via LeMat-Bulk).

Properties
- E_tot: -0.519 Ry per atom
- Volume: 233.5 Å³/cell
- Total magnetic moment: 0.0 μB/f.u.
- E_form (uncorrected): -2428 meV/atom

Cell lengths 3.9935, 3.9935, 14.6411 Å; angles 90.00, 90.00, 90.00 degrees
Space group I4/mmm (No. 139)
Symmetry-distinct sites (fractional):
Nd1 0.0000 0.0000 0.1683 [4 per cell]
Pb1 0.0000 0.0000 0.5000 [2 per cell]
O1 0.0000 0.5000 0.2500 [4 per cell]

=====

# Pr4Nd2Pb3O2

Crystalline Pr4Nd2Pb3O2 at its relaxed geometry (PBE-GGA, Alexandria via LeMat-Bulk).

Properties
- E_tot: -0.431 Ry per atom
- Volume: 630.3 Å³/cell
- Total magnetic moment: 0.0 μB/f.u.
- E_form (uncorrected): -1349 meV/atom

Cell lengths 4.8834, 4.8834, 26.4295 Å; angles 90.00, 90.00, 90.00 degrees
Space group I4/mmm (No. 139)
Symmetry-distinct sites (fractional):
Pr1 0.0000 0.5000 0.0832 [8 per cell]
Nd1 0.0000 0.0000 0.1939 [4 per cell]
Pb1 0.0000 0.0000 0.3205 [4 per cell]
Pb2 0.0000 0.0000 0.5000 [2 per cell]
O1 0.0000 0.0000 0.1027 [4 per cell]

=====

# Pr2Nd4Pb3O2

Crystalline Pr2Nd4Pb3O2 at its relaxed geometry (PBE-GGA, Alexandria via LeMat-Bulk).

Properties
- E_tot: -0.432 Ry per atom
- Volume: 622.8 Å³/cell
- Total magnetic moment: 0.0 μB/f.u.
- E_form (uncorrected): -1367 meV/atom

Cell lengths 4.8542, 4.8542, 26.4306 Å; angles 90.00, 90.00, 90.00 degrees
Space group I4/mmm (No. 139)
Symmetry-distinct sites (fractional):
Pr1 0.0000 0.0000 0.1940 [4 per cell]
Nd1 0.0000 0.5000 0.0828 [8 per cell]
Pb1 0.0000 0.0000 0.3217 [4 per cell]
Pb2 0.0000 0.0000 0.5000 [2 per cell]
O1 0.0000 0.0000 0.1000 [4 per cell]

=====

# PrNdPb2O8

Crystalline PrNdPb2O8 at its relaxed geometry (PBE-GGA, Alexandria via LeMat-Bulk).

Properties
- E_tot: -0.471 Ry per atom
- Volume: 359.5 Å³/cell
- Total magnetic moment: 2.0 μB/f.u.
- E_form (uncorrected): -1693 meV/atom

Cell lengths 5.7256, 5.7256, 10.9667 Å; angles 90.00, 90.00, 90.00 degrees
Space group I-4 (No. 82)
Symmetry-distinct sites (fractional):
Pr1 0.0000 0.0000 0.0000 [2 per cell]
Nd1 0.0000 0.5000 0.2500 [2 per cell]
Pb1 0.0000 0.0000 0.5000 [2 per cell]
Pb2 0.0000 0.5000 0.7500 [2 per cell]
O1 0.1999 0.2525 0.4032 [8 per cell]
O2 0.2026 0.7516 0.8457 [8 per cell]

=====

# Nd2PuPbO8

Crystalline Nd2PuPbO8 at its relaxed geometry (PBE-GGA, Alexandria via LeMat-Bulk).

Properties
- E_tot: -0.592 Ry per atom
- Volume: 171.3 Å³/cell
- Total magnetic moment: 2.0 μB/f.u.
- E_form (uncorrected): -2447 meV/atom

Cell lengths 3.9180, 5.5110, 8.0037 Å; angles 84.26, 89.34, 85.10 degrees
Space group P-1 (No. 2)
Symmetry-distinct sites (fractional):
Nd1 0.0060 0.0154 0.2494 [2 per cell]
Pu1 0.5000 0.5000 0.5000 [1 per cell]
Pb1 0.5000 0.5000 0.0000 [1 per cell]
O1 0.0468 0.7460 0.0273 [2 per cell]
O2 0.0510 0.7246 0.5183 [2 per cell]
O3 0.4577 0.2603 0.6976 [2 per cell]
O4 0.4695 0.2717 0.2419 [2 per cell]

=====

# NdPuPb2O8

Crystalline NdPuPb2O8 at its relaxed geometry (PBE-GGA, Alexandria via LeMat-Bulk).

Properties
- E_tot: -0.548 Ry per atom
- Volume: 389.0 Å³/cell
- Total magnetic moment: 1.4 μB/f.u.
- E_form (uncorrected): -1938 meV/atom

Cell lengths 7.3910, 7.4272, 7.0858 Å; angles 90.00, 90.00, 90.00 degrees
Space group Cmmm (No. 65)
Symmetry-distinct sites (fractional):
Nd1 0.0000 0.0000 0.0000 [2 per cell]
Pu1 0.0000 0.0000 0.5000 [2 per cell]
Pb1 0.0000 0.5000 0.2509 [4 per cell]
O1 0.0000 0.1797 0.2850 [8 per cell]
O2 0.1852 0.5000 0.0000 [4 per cell]
O3 0.2171 0.5000 0.5000 [4 per cell]

=====

# Rb2Nd2PbO6

Crystalline Rb2Nd2PbO6 at its relaxed geometry (PBE-GGA, Alexandria via LeMat-Bulk).

Properties
- E_tot: -0.455 Ry per atom
- Volume: 448.7 Å³/cell
- Total magnetic moment: 0.0 μB/f.u.
- E_form (uncorrected): -2108 meV/atom

Cell lengths 6.2019, 10.7290, 7.0061 Å; angles 90.00, 105.74, 90.00 degrees
Space group C2/m (No. 12)
Symmetry-distinct sites (fractional):
Rb1 0.0000 0.1632 0.0000 [4 per cell]
Nd1 0.0000 0.3345 0.5000 [4 per cell]
Pb1 0.0000 0.0000 0.5000 [2 per cell]
O1 0.2093 0.1628 0.6710 [8 per cell]
O2 0.2470 0.5000 0.6714 [4 per cell]

=====

# RbNdPbO3

Crystalline RbNdPbO3 at its relaxed geometry (PBE-GGA, Alexandria via LeMat-Bulk).

Properties
- E_tot: -0.450 Ry per atom
- Volume: 249.9 Å³/cell
- Total magnetic moment: 0.0 μB/f.u.
- E_form (uncorrected): -2072 meV/atom

Cell lengths 7.2897, 3.6666, 9.3511 Å; angles 90.00, 90.35, 90.00 degrees
Space group P2_1/m (No. 11)
Symmetry-distinct sites (fractional):
Rb1 0.1068 0.2500 0.1896 [2 per cell]
Nd1 0.4133 0.2500 0.8473 [2 per cell]
Pb1 0.2675 0.7500 0.5436 [2 per cell]
O1 0.1597 0.2500 0.6789 [2 per cell]
O2 0.3231 0.7500 0.9976 [2 per cell]
O3 0.4910 0.2500 0.3057 [2 per cell]

=====

# NdRuPb2O6

Crystalline NdRuPb2O6 at its relaxed geometry (PBE-GGA, Alexandria via LeMat-Bulk).

Properties
- E_tot: -0.492 Ry per atom
- Volume: 298.5 Å³/cell
- Total magnetic moment: 2.8 μB/f.u.
- E_form (uncorrected): -1572 meV/atom

Cell lengths 5.9307, 5.9818, 10.2714 Å; angles 90.00, 125.01, 90.00 degrees
Space group P2_1/c (No. 14)
Symmetry-distinct sites (fractional):
Nd1 0.0000 0.0000 0.0000 [2 per cell]
Ru1 0.5000 0.0000 0.5000 [2 per cell]
Pb1 0.2622 0.0343 0.7532 [4 per cell]
O1 0.1822 0.0217 0.2732 [4 per cell]
O2 0.2798 0.6870 0.0489 [4 per cell]
O3 0.3674 0.2246 0.0456 [4 per cell]